(1)
The following is a DFT calculation (PBE) of a relaxed structure of MoIr2Cl.

a = 2.8528 Å, b = 2.8528 Å, c = 7.8192 Å
α = 90.00°, β = 90.00°, γ = 90.00°
Last column: nearest neighbours and their distance in Å.
Positions (direct):
Ir 0.0000 0.0000 0.4795  4 Mo 2.70, 4 Ir 2.85, 4 Cl 2.92
Ir 0.0000 0.0000 0.0205  4 Mo 2.70, 4 Ir 2.85, 4 Cl 2.92
Cl 0.5000 0.5000 0.7500  4 Cl 2.85, 8 Ir 2.92
Mo 0.5000 0.5000 0.2500  8 Ir 2.70, 4 Mo 2.85

## Properties
The value obtained for the formation energy without anion corrections is 0.231 eV/atom. The energy above the most stable polymorph in this dataset is 0.027 eV/atom. Its total energy is -7.369 eV/atom.

(2)
The following is a DFT calculation (PBE) of a relaxed structure of Ac2TmSn.

a = 5.8378 Å, b = 5.8378 Å, c = 5.8378 Å
α = 60.00°, β = 60.00°, γ = 60.00°
Last column: nearest neighbours and their distance in Å.
Positions (direct):
Ac 0.7500 0.7500 0.7500  4 Tm 3.57, 4 Sn 3.57
Tm 0.0000 0.0000 0.0000  8 Ac 3.57
Sn 0.5000 0.5000 0.5000  8 Ac 3.57
Ac 0.2500 0.2500 0.2500  4 Sn 3.57, 4 Tm 3.57

## Properties
The energy above the most stable polymorph in this dataset is 0.169 eV/atom. Its total energy is -4.340 eV/atom. As for the formation energy: -0.167 eV/atom.

(3)
The following is a DFT calculation (PBE) of a relaxed structure of GeB2TeO.

a = 4.3091 Å, b = 5.8468 Å, c = 4.3091 Å
α = 90.00°, β = 90.00°, γ = 90.00°
Last column: nearest neighbours and their distance in Å.
Positions (direct):
O 0.5000 0.5000 0.5000  4 Ge 3.05
Ge 0.0000 0.5000 0.0000  2 Te 2.92, 4 O 3.05
Te 0.0000 0.0000 0.0000  4 B 2.15
B 0.0000 0.0000 0.5000  2 Te 2.15
B 0.5000 0.0000 0.0000  2 Te 2.15

## Properties
The value obtained for the formation energy without anion corrections is 2.056 eV/atom. Its total energy is -3.159 eV/atom.

(4)
The following is a DFT calculation (PBE) of a relaxed structure of Tb3HoTm3.

a = 6.1112 Å, b = 6.1112 Å, c = 14.4779 Å
α = 77.82°, β = 77.82°, γ = 60.00°
Last column: nearest neighbours and their distance in Å.
Positions (direct):
Tm 0.6002 0.9342 0.1976  2 Ho 3.44, 3 Tb 3.45-3.46, 6 Tm 3.52-3.53
Tb 0.4631 0.8011 0.6035  3 Tm 3.45-3.46, 9 Tb 3.50-3.55
Tm 0.0658 0.7321 0.8024  2 Ho 3.44, 3 Tb 3.45-3.46, 6 Tm 3.52-3.53
Ho 0.3333 0.3333 0.0001  6 Tm 3.44, 3 Ho 3.53
Ho 0.6667 0.6667 0.9999  6 Tm 3.44, 3 Ho 3.53
Tb 0.8011 0.1324 0.6035  3 Tm 3.45-3.46, 9 Tb 3.50-3.55
Tm 0.3998 0.0658 0.8024  2 Ho 3.44, 3 Tb 3.45-3.46, 6 Tm 3.52-3.53
Tm 0.7321 0.3998 0.8024  2 Ho 3.44, 3 Tb 3.45-3.46, 6 Tm 3.52-3.53
Tb 0.8676 0.5369 0.3965  3 Tm 3.45-3.46, 9 Tb 3.50-3.55
Tm 0.2679 0.6002 0.1976  2 Ho 3.44, 3 Tb 3.45-3.46, 6 Tm 3.52-3.53
Tb 0.5369 0.1989 0.3965  3 Tm 3.45-3.46, 9 Tb 3.50-3.55
Tb 0.1989 0.8676 0.3965  3 Tm 3.45-3.46, 9 Tb 3.50-3.55
Tb 0.1324 0.4631 0.6035  3 Tm 3.45-3.46, 9 Tb 3.50-3.55
Tm 0.9342 0.2679 0.1976  2 Ho 3.44, 3 Tb 3.45-3.46, 6 Tm 3.52-3.53

## Properties
The energy above the most stable polymorph in this dataset is 0.145 eV/atom. Its total energy is -4.403 eV/atom. As for the formation energy: 0.152 eV/atom.

(5)
The following is a DFT calculation (PBE) of a relaxed structure of ZrHgRu2.

a = 4.1395 Å, b = 4.1395 Å, c = 9.6409 Å
α = 77.60°, β = 77.60°, γ = 90.00°
Last column: nearest neighbours and their distance in Å.
Positions (direct):
Ru 0.1939 0.6250 0.2500  2 Ru 2.56, 2 Zr 2.63, 2 Hg 2.84
Zr 0.2500 0.7500 0.5000  4 Ru 2.63, 4 Hg 2.93
Ru 0.5561 0.1250 0.2500  2 Ru 2.56, 2 Zr 2.63, 2 Hg 2.84
Zr 0.5000 0.5000 0.0000  4 Ru 2.63, 4 Hg 2.93
Hg 0.7500 0.2500 0.5000  4 Ru 2.84, 4 Zr 2.93
Ru 0.8750 0.8061 0.7500  2 Ru 2.56, 2 Zr 2.63, 2 Hg 2.84
Hg 0.0000 0.0000 0.0000  4 Ru 2.84, 4 Zr 2.93
Ru 0.3750 0.4439 0.7500  2 Ru 2.56, 2 Zr 2.63, 2 Hg 2.84

## Properties
Its total energy is -6.356 eV/atom. As for the formation energy: 0.494 eV/atom.

(6)
The following is a DFT calculation (PBE) of a relaxed structure of CsRbTeI.

a = 6.4577 Å, b = 6.4577 Å, c = 6.4577 Å
α = 60.00°, β = 60.00°, γ = 60.00°
Last column: nearest neighbours and their distance in Å.
Positions (direct):
I 0.5000 0.5000 0.5000  4 Rb 3.95, 4 Cs 3.95
Rb 0.2500 0.2500 0.2500  4 Te 3.95, 4 I 3.95
Cs 0.7500 0.7500 0.7500  4 I 3.95, 4 Te 3.95
Te 0.0000 0.0000 0.0000  4 Rb 3.95, 4 Cs 3.95

## Properties
The value obtained for the formation energy without anion corrections is -0.930 eV/atom. Its total energy is -2.558 eV/atom.

(7)
The following is a DFT calculation (PBE) of a relaxed structure of Ag2HgIr.

a = 2.9164 Å, b = 2.9164 Å, c = 8.3407 Å
α = 90.00°, β = 90.00°, γ = 90.00°
Last column: nearest neighbours and their distance in Å.
Positions (direct):
Ag 0.0000 0.0000 0.9909  4 Ir 2.85, 8 Ag 2.92-2.94
Ag 0.5000 0.5000 0.2421  8 Ag 2.92-2.94, 4 Hg 3.05
Ir 0.5000 0.5000 0.7555  4 Ag 2.85, 4 Hg 2.90, 4 Ir 2.92
Hg 0.0000 0.0000 0.5115  4 Ir 2.90, 4 Hg 2.92, 4 Ag 3.05

## Properties
Its total energy is -3.372 eV/atom. As for the formation energy: 0.345 eV/atom.

(8)
The following is a DFT calculation (PBE) of a relaxed structure of Y2HoSb.

a = 4.1205 Å, b = 6.4714 Å, c = 9.5084 Å
α = 90.00°, β = 90.00°, γ = 108.56°
Last column: nearest neighbours and their distance in Å.
Positions (direct):
Sb 0.2426 0.4850 0.2500  6 Y 3.11-3.20, 2 Ho 3.18
Y 0.6359 0.2717 0.0477  3 Sb 3.11-3.20, 1 Y 3.45
Y 0.3641 0.7283 0.9523  3 Sb 3.11-3.20, 1 Y 3.45
Sb 0.7574 0.5150 0.7500  6 Y 3.11-3.20, 2 Ho 3.18
Y 0.3641 0.7283 0.5477  3 Sb 3.11-3.20, 1 Y 3.45
Ho 0.9396 0.8793 0.2500  2 Sb 3.18
Ho 0.0604 0.1207 0.7500  2 Sb 3.18
Y 0.6359 0.2717 0.4523  3 Sb 3.11-3.20, 1 Y 3.45

## Properties
The value obtained for the formation energy without anion corrections is -0.578 eV/atom. The energy above the most stable polymorph in this dataset is 0.000 eV/atom. Its total energy is -5.985 eV/atom.

(9)
The following is a DFT calculation (PBE) of a relaxed structure of YIn2Ge.

a = 3.4420 Å, b = 3.4420 Å, c = 11.0144 Å
α = 81.01°, β = 81.01°, γ = 60.00°
Last column: nearest neighbours and their distance in Å.
Positions (direct):
Ge 0.5000 0.5000 0.5000  6 In 3.02
Y 0.0000 0.0000 0.0000  2 In 3.15, 6 Y 3.44
In 0.0968 0.0968 0.7096  3 Ge 3.02, 1 Y 3.15
In 0.9032 0.9032 0.2904  3 Ge 3.02, 1 Y 3.15

## Properties
Its total energy is -3.952 eV/atom. As for the formation energy: 0.188 eV/atom.

(10)
The following is a DFT calculation (PBE) of a relaxed structure of Eu2NiAu.

a = 5.1463 Å, b = 5.1463 Å, c = 5.1463 Å
α = 60.00°, β = 60.00°, γ = 60.00°
Last column: nearest neighbours and their distance in Å.
Positions (direct):
Eu 0.7500 0.7500 0.7500  4 Ni 3.15, 4 Au 3.15
Eu 0.2500 0.2500 0.2500  4 Au 3.15, 4 Ni 3.15
Au 0.0000 0.0000 0.0000  8 Eu 3.15
Ni 0.5000 0.5000 0.5000  8 Eu 3.15

## Properties
The energy above the most stable polymorph in this dataset is 0.016 eV/atom. Its total energy is -7.784 eV/atom. As for the formation energy: -0.382 eV/atom.

(11)
The following is a DFT calculation (PBE) of a relaxed structure of MnRh2Cl.

a = 2.9360 Å, b = 2.9360 Å, c = 7.2456 Å
α = 90.00°, β = 90.00°, γ = 90.00°
Last column: nearest neighbours and their distance in Å.
Positions (direct):
Mn 0.5000 0.5000 0.7590  4 Rh 2.68, 4 Cl 2.71, 4 Mn 2.94
Cl 0.0000 0.0000 0.5189  4 Mn 2.71, 4 Cl 2.94, 4 Rh 2.95
Rh 0.5000 0.5000 0.2287  8 Rh 2.69-2.94, 4 Cl 2.95
Rh 0.0000 0.0000 0.9935  4 Mn 2.68, 8 Rh 2.69-2.94

## Properties
The value obtained for the formation energy without anion corrections is 0.149 eV/atom. The energy above the most stable polymorph in this dataset is 0.074 eV/atom. Its total energy is -6.281 eV/atom.

(12)
The following is a DFT calculation (PBE) of a relaxed structure of Rb2BaTePd.

a = 7.0088 Å, b = 5.1951 Å, c = 7.0088 Å
α = 90.00°, β = 90.00°, γ = 90.00°
Last column: nearest neighbours and their distance in Å.
Positions (direct):
Rb 0.5000 0.0000 0.0000  2 Te 3.50
Rb 0.0000 0.0000 0.5000  2 Te 3.50
Ba 0.5000 0.5000 0.5000  8 Rb 4.36
Pd 0.0000 0.5000 0.0000  2 Te 2.60
Te 0.0000 0.0000 0.0000  2 Pd 2.60

## Properties
The value obtained for the formation energy without anion corrections is -0.129 eV/atom. Its total energy is -2.568 eV/atom.

> Which formula does entry 2 have?

Ac2TmSn